Entry a
# Li4Ce3Pt4

A relaxed Li4Ce3Pt4 crystal (PBE, the Alexandria database).

Cell lengths 7.4750, 7.4750, 7.4750 Å; angles 90.00, 90.00, 90.00 degrees
Space group I-43m (No. 217)
Unique sites:
Li 0.1175 0.1175 0.8825 (multiplicity 8)
Ce 0.0000 0.0000 0.5000 (multiplicity 6)
Pt 0.2017 0.2017 0.2017 (multiplicity 8)

Results
As for the density of states at the Fermi level: 2.1417 states/eV/atom.

=====

Entry b
# Li4Ce3Pt4

A relaxed Li4Ce3Pt4 crystal (PBE, the Alexandria database).

Cell lengths 3.9764, 7.6354, 14.0780 Å; angles 90.00, 90.00, 90.00 degrees
Space group Immm (No. 71)
Unique sites:
Li 0.0000 0.1920 0.1773 (multiplicity 8)
Ce 0.0000 0.0000 0.3761 (multiplicity 4)
Ce 0.0000 0.5000 0.5000 (multiplicity 2)
Pt 0.0000 0.3012 0.0000 (multiplicity 4)
Pt 0.0000 0.5000 0.2754 (multiplicity 4)

Results
As for the density of states at the Fermi level: 1.6945 states/eV/atom.

=====

Need the numbers? Relative energies in meV per atom: entry a 180; entry b 0.

=====

Entry a
# LiCePu2

A relaxed LiCePu2 crystal (PBE, the Alexandria database).

Cell lengths 7.2083, 7.2083, 7.2083 Å; angles 90.00, 90.00, 90.00 degrees
Space group Fm-3m (No. 225)
Unique sites:
Li 0.0000 0.0000 0.0000 (multiplicity 4)
Ce 0.0000 0.0000 0.5000 (multiplicity 4)
Pu 0.2500 0.2500 0.2500 (multiplicity 8)

Results
As for the density of states at the Fermi level: 2.8875 states/eV/atom.

=====

Entry b
# LiCePu2

A relaxed LiCePu2 crystal (PBE, the Alexandria database).

Cell lengths 4.5538, 4.5538, 4.8741 Å; angles 90.00, 90.00, 90.00 degrees
Space group P4/mmm (No. 123)
Unique sites:
Li 0.0000 0.0000 0.0000 (multiplicity 1)
Ce 0.5000 0.5000 0.0000 (multiplicity 1)
Pu 0.0000 0.5000 0.5000 (multiplicity 2)

Results
As for the density of states at the Fermi level: 3.0001 states/eV/atom.

=====

Need the numbers? Relative energies in meV per atom: entry a 0; entry b 66.

=====

Entry a
# LiCeRh

A relaxed LiCeRh crystal (PBE, the Alexandria database).

Cell lengths 7.2132, 3.8737, 12.5187 Å; angles 90.00, 90.78, 90.00 degrees
Space group P2_1/m (No. 11)
Unique sites:
Li 0.0130 0.2500 0.0821 (multiplicity 2)
Li 0.1253 0.7500 0.5359 (multiplicity 2)
Li 0.3793 0.2500 0.1958 (multiplicity 2)
Ce 0.0535 0.7500 0.2884 (multiplicity 2)
Ce 0.3245 0.2500 0.9221 (multiplicity 2)
Ce 0.4536 0.2500 0.6253 (multiplicity 2)
Rh 0.2359 0.7500 0.7500 (multiplicity 2)
Rh 0.2667 0.2500 0.4080 (multiplicity 2)
Rh 0.2673 0.7500 0.0696 (multiplicity 2)

Results
As for the density of states at the Fermi level: 1.6030 states/eV/atom.

=====

Entry b
# LiCeRh

A relaxed LiCeRh crystal (PBE, the Alexandria database).

Cell lengths 3.6068, 3.6068, 9.2906 Å; angles 90.00, 90.00, 90.00 degrees
Space group I4mm (No. 107)
Unique sites:
Li 0.0000 0.0000 0.0000 (multiplicity 2)
Ce 0.0000 0.0000 0.3006 (multiplicity 2)
Rh 0.0000 0.0000 0.6757 (multiplicity 2)

Results
As for the density of states at the Fermi level: 1.7513 states/eV/atom.

=====

Need the numbers? Relative energies in meV per atom: entry a 0; entry b 198.

=====

Entry a
# LiCeRu

A relaxed LiCeRu crystal (PBE, the Alexandria database).

Cell lengths 4.8218, 8.5673, 5.5918 Å; angles 90.00, 90.00, 90.00 degrees
Space group Cmcm (No. 63)
Unique sites:
Li 0.0000 0.0000 0.0000 (multiplicity 4)
Ce 0.0000 0.3196 0.2500 (multiplicity 4)
Ru 0.0000 0.3066 0.7500 (multiplicity 4)

Results
As for the density of states at the Fermi level: 0.8281 states/eV/atom.

=====

Entry b
# LiCeRu

A relaxed LiCeRu crystal (PBE, the Alexandria database).

Cell lengths 4.3966, 4.3966, 3.3262 Å; angles 90.00, 90.00, 120.00 degrees
Space group P3m1 (No. 156)
Unique sites:
Li 0.0000 0.0000 0.0000 (multiplicity 1)
Ce 0.6667 0.3333 0.4994 (multiplicity 1)
Ru 0.3333 0.6667 0.9982 (multiplicity 1)

Results
As for the density of states at the Fermi level: 1.4323 states/eV/atom.

=====

Need the numbers? Relative energies in meV per atom: entry a 0; entry b 185.

=====

Entry a
# LiCe2S4

A relaxed LiCe2S4 crystal (PBE, the Alexandria database).

Cell lengths 14.1209, 4.0762, 7.1199 Å; angles 90.00, 119.65, 90.00 degrees
Space group C2/m (No. 12)
Unique sites:
Li 0.0000 0.0000 0.0000 (multiplicity 2)
Ce 0.2218 0.5000 0.7189 (multiplicity 4)
S 0.1253 0.0000 0.4231 (multiplicity 4)
S 0.1429 0.5000 0.0075 (multiplicity 4)

Results
As for the density of states at the Fermi level: 1.1922 states/eV/atom.

=====

Entry b
# LiCe2S4

A relaxed LiCe2S4 crystal (PBE, the Alexandria database).

Cell lengths 6.4577, 6.3742, 7.7463 Å; angles 90.00, 107.61, 90.00 degrees
Space group P2_1/m (No. 11)
Unique sites:
Li 0.2467 0.2500 0.1871 (multiplicity 2)
Ce 0.2626 0.7500 0.4420 (multiplicity 2)
Ce 0.2791 0.7500 0.9439 (multiplicity 2)
S 0.0401 0.2500 0.8874 (multiplicity 2)
S 0.0437 0.2500 0.3846 (multiplicity 2)
S 0.4881 0.0078 0.7459 (multiplicity 4)

Results
As for the density of states at the Fermi level: 1.2477 states/eV/atom.

=====

Need the numbers? Relative energies in meV per atom: entry a 0; entry b 42.

=====

Entry a
# LiCe2Sb

A relaxed LiCe2Sb crystal (PBE, the Alexandria database).

Cell lengths 3.2230, 3.2230, 35.9347 Å; angles 90.00, 90.00, 120.00 degrees
Space group R-3m (No. 166, hexagonal axes)
Unique sites:
Li 0.0000 0.0000 0.0000 (multiplicity 3)
Ce 0.0000 0.0000 0.0906 (multiplicity 6)
Sb 0.0000 0.0000 0.5000 (multiplicity 3)

Results
As for the density of states at the Fermi level: 2.3638 states/eV/atom.

=====

Entry b
# LiCe2Sb

A relaxed LiCe2Sb crystal (PBE, the Alexandria database).

Cell lengths 4.3855, 4.3855, 4.9637 Å; angles 90.00, 90.00, 90.00 degrees
Space group P4/mmm (No. 123)
Unique sites:
Li 0.0000 0.0000 0.0000 (multiplicity 1)
Ce 0.0000 0.5000 0.5000 (multiplicity 2)
Sb 0.5000 0.5000 0.0000 (multiplicity 1)

Results
As for the density of states at the Fermi level: 2.1544 states/eV/atom.

=====

Need the numbers? Relative energies in meV per atom: entry a 467; entry b 0.

=====

Entry a
# Li3CeSb2

A relaxed Li3CeSb2 crystal (PBE, the Alexandria database).

Cell lengths 4.5990, 4.5990, 7.3541 Å; angles 90.00, 90.00, 120.00 degrees
Space group P-3m1 (No. 164)
Unique sites:
Li 0.0000 0.0000 0.0000 (multiplicity 1)
Li 0.3333 0.6667 0.1465 (multiplicity 2)
Ce 0.0000 0.0000 0.5000 (multiplicity 1)
Sb 0.3333 0.6667 0.7542 (multiplicity 2)

Results
As for the density of states at the Fermi level: 1.1249 states/eV/atom.

=====

Entry b
# Li3CeSb2

A relaxed Li3CeSb2 crystal (PBE, the Alexandria database).

Cell lengths 4.6566, 8.1848, 7.5079 Å; angles 90.00, 90.00, 90.00 degrees
Space group Pmc2_1 (No. 26)
Unique sites:
Li 0.0000 0.0802 0.0000 (multiplicity 2)
Li 0.0000 0.3003 0.3549 (multiplicity 2)
Li 0.5000 0.1525 0.6508 (multiplicity 2)
Ce 0.5000 0.4585 0.0108 (multiplicity 2)
Sb 0.0000 0.3554 0.7390 (multiplicity 2)
Sb 0.5000 0.1614 0.2727 (multiplicity 2)

Results
As for the density of states at the Fermi level: 1.0944 states/eV/atom.

=====

Need the numbers? Relative energies in meV per atom: entry a 0; entry b 79.

=====

Entry a
# LiCeSc2

A relaxed LiCeSc2 crystal (PBE, the Alexandria database).

Cell lengths 5.2870, 5.2870, 3.4183 Å; angles 90.00, 90.00, 90.00 degrees
Space group P4/mmm (No. 123)
Unique sites:
Li 0.0000 0.0000 0.0000 (multiplicity 1)
Ce 0.5000 0.5000 0.0000 (multiplicity 1)
Sc 0.0000 0.5000 0.5000 (multiplicity 2)

Results
As for the density of states at the Fermi level: 2.2080 states/eV/atom.

=====

Entry b
# LiCeSc2

A relaxed LiCeSc2 crystal (PBE, the Alexandria database).

Cell lengths 3.0943, 3.0943, 33.9724 Å; angles 90.00, 90.00, 120.00 degrees
Space group R-3m (No. 166, hexagonal axes)
Unique sites:
Li 0.0000 0.0000 0.0000 (multiplicity 3)
Ce 0.0000 0.0000 0.5000 (multiplicity 3)
Sc 0.0000 0.0000 0.4115 (multiplicity 6)

Results
As for the density of states at the Fermi level: 1.6989 states/eV/atom.

=====

Need the numbers? Relative energies in meV per atom: entry a 10; entry b 0.

=====

Entry a
# LiCeSe

A relaxed LiCeSe crystal (PBE, the Alexandria database).

Cell lengths 4.1656, 4.1656, 4.1819 Å; angles 90.00, 90.00, 120.00 degrees
Space group P-6m2 (No. 187)
Unique sites:
Li 0.0000 0.0000 0.0000 (multiplicity 1)
Ce 0.3333 0.6667 0.5000 (multiplicity 1)
Se 0.6667 0.3333 0.0000 (multiplicity 1)

Results
As for the density of states at the Fermi level: 2.2469 states/eV/atom.

=====

Entry b
# LiCeSe

A relaxed LiCeSe crystal (PBE, the Alexandria database).

Cell lengths 4.0024, 4.0024, 33.3716 Å; angles 90.00, 90.00, 120.00 degrees
Space group R-3m (No. 166, hexagonal axes)
Unique sites:
Li 0.0000 0.0000 0.1295 (multiplicity 6)
Ce 0.0000 0.0000 0.2879 (multiplicity 6)
Se 0.0000 0.0000 0.4381 (multiplicity 6)

Results
As for the density of states at the Fermi level: 2.0074 states/eV/atom.

=====

Need the numbers? Relative energies in meV per atom: entry a 0; entry b 119.

=====

Entry a
# LiCeSm

A relaxed LiCeSm crystal (PBE, the Alexandria database).

Cell lengths 3.4155, 3.4155, 14.5793 Å; angles 90.00, 90.00, 90.00 degrees
Space group I4mm (No. 107)
Unique sites:
Li 0.0000 0.0000 0.0000 (multiplicity 2)
Ce 0.0000 0.0000 0.3371 (multiplicity 2)
Sm 0.0000 0.0000 0.6623 (multiplicity 2)

Results
As for the density of states at the Fermi level: 2.0876 states/eV/atom.

=====

Entry b
# LiCeSm

A relaxed LiCeSm crystal (PBE, the Alexandria database).

Cell lengths 3.5090, 3.5090, 13.0051 Å; angles 90.00, 90.00, 90.00 degrees
Space group P4/nmm (No. 129, origin choice 2)
Unique sites:
Li 0.2500 0.2500 0.0538 (multiplicity 2)
Ce 0.2500 0.2500 0.4164 (multiplicity 2)
Sm 0.2500 0.2500 0.7707 (multiplicity 2)

Results
As for the density of states at the Fermi level: 1.5624 states/eV/atom.

=====

Need the numbers? Relative energies in meV per atom: entry a 107; entry b 0.

=====

Entry a
# LiCeSn2

A relaxed LiCeSn2 crystal (PBE, the Alexandria database).

Cell lengths 3.5556, 3.5556, 7.4829 Å; angles 90.00, 90.00, 90.00 degrees
Space group P4/mmm (No. 123)
Unique sites:
Li 0.0000 0.0000 0.0000 (multiplicity 1)
Ce 0.0000 0.0000 0.5000 (multiplicity 1)
Sn 0.5000 0.5000 0.2100 (multiplicity 2)

Results
As for the density of states at the Fermi level: 1.5989 states/eV/atom.

=====

Entry b
# LiCeSn2

A relaxed LiCeSn2 crystal (PBE, the Alexandria database).

Cell lengths 4.7027, 4.7027, 4.4909 Å; angles 90.00, 90.00, 90.00 degrees
Space group P4/mmm (No. 123)
Unique sites:
Li 0.0000 0.0000 0.0000 (multiplicity 1)
Ce 0.5000 0.5000 0.0000 (multiplicity 1)
Sn 0.0000 0.5000 0.5000 (multiplicity 2)

Results
As for the density of states at the Fermi level: 1.4162 states/eV/atom.

=====

Entry c
# LiCeSn2

A relaxed LiCeSn2 crystal (PBE, the Alexandria database).

Cell lengths 4.6358, 4.6358, 16.2682 Å; angles 90.00, 90.00, 120.00 degrees
Space group R-3m (No. 166, hexagonal axes)
Unique sites:
Li 0.0000 0.0000 0.0000 (multiplicity 3)
Ce 0.0000 0.0000 0.5000 (multiplicity 3)
Sn 0.0000 0.0000 0.2773 (multiplicity 6)

Results
As for the density of states at the Fermi level: 1.7412 states/eV/atom.

=====

Entry d
# LiCeSn2

A relaxed LiCeSn2 crystal (PBE, the Alexandria database).

Cell lengths 7.3894, 7.3894, 7.3894 Å; angles 90.00, 90.00, 90.00 degrees
Space group Fm-3m (No. 225)
Unique sites:
Li 0.0000 0.0000 0.0000 (multiplicity 4)
Ce 0.0000 0.0000 0.5000 (multiplicity 4)
Sn 0.2500 0.2500 0.2500 (multiplicity 8)

Results
As for the density of states at the Fermi level: 0.9236 states/eV/atom.

=====

Need the numbers? Relative energies in meV per atom: entry a 74; entry b 0; entry c 88; entry d 94.

=====

Entry a
# Li3CeSn3

A relaxed Li3CeSn3 crystal (PBE, the Alexandria database).

Cell lengths 7.1367, 7.1367, 7.1367 Å; angles 90.00, 90.00, 90.00 degrees
Space group Pm-3n (No. 223)
Unique sites:
Li 0.0000 0.2500 0.5000 (multiplicity 6)
Ce 0.0000 0.0000 0.0000 (multiplicity 2)
Sn 0.0000 0.5000 0.2500 (multiplicity 6)

Results
As for the density of states at the Fermi level: 1.5592 states/eV/atom.

=====

Entry b
# Li3CeSn3

A relaxed Li3CeSn3 crystal (PBE, the Alexandria database).

Cell lengths 8.6117, 8.6117, 17.0558 Å; angles 90.00, 90.00, 120.00 degrees
Space group R-3 (No. 148, hexagonal axes)
Unique sites:
Li 0.0022 0.6770 0.1191 (multiplicity 18)
Ce 0.0000 0.0000 0.3327 (multiplicity 6)
Sn 0.0003 0.2953 0.0539 (multiplicity 18)

Results
As for the density of states at the Fermi level: 1.2477 states/eV/atom.

=====

Need the numbers? Relative energies in meV per atom: entry a 335; entry b 0.